# 1
{
  "formula": "NaNdI4",
  "functional": "GGA-PBE",
  "state": "optimized geometry",
  "lattice": [[7.618, 0.000, 0.000], [-1.425, 7.735, 0.000], [-0.334, -0.100, 8.121]],
  "species": ["I", "I", "I", "I", "I", "I", "I", "I", "Na", "Na", "Nd", "Nd"],
  "fractional_positions": [[0.097, 0.995, 0.787], [0.573, 0.304, 0.886], [0.054, 0.494, 0.744], [0.946, 0.506, 0.256], [0.598, 0.776, 0.618], [0.402, 0.224, 0.382], [0.427, 0.696, 0.114], [0.903, 0.005, 0.213], [0.227, 0.828, 0.440], [0.773, 0.172, 0.560], [0.793, 0.697, 0.941], [0.207, 0.303, 0.059]],
  "total_magnetization_mub_per_fu": 0.0,
  "rho_g_cm3": 4.7,
  "volume_a3_per_cell": 478.5,
  "final_energy_ev_per_atom": -3.38,
  "sg": "P-1 (2)"
}

***

# 2
{
  "formula": "NaPaI6",
  "functional": "GGA-PBE",
  "state": "optimized geometry",
  "lattice": [[2.516, 7.224, 2.583], [-6.929, -3.300, 2.507], [4.980, -4.497, 3.816]],
  "species": ["Na", "I", "I", "I", "I", "I", "I", "Pa"],
  "fractional_positions": [[0.000, 0.000, 0.000], [0.266, 0.266, 0.728], [0.734, 0.734, 0.272], [0.121, 0.421, 0.265], [0.421, 0.121, 0.265], [0.579, 0.879, 0.735], [0.879, 0.579, 0.735], [0.500, 0.500, 0.500]],
  "total_magnetization_mub_per_fu": 0.0,
  "rho_g_cm3": 4.2,
  "volume_a3_per_cell": 400.8,
  "final_energy_ev_per_atom": -3.53,
  "sg": "C2/m (12)"
}

***

# 3
{
  "formula": "Na2PaI6",
  "functional": "GGA-PBE",
  "state": "optimized geometry",
  "lattice": [[-5.991, 0.628, -4.559], [3.459, -4.322, -5.141], [-5.591, -11.354, 5.784]],
  "species": ["Pa", "Pa", "I", "I", "I", "I", "I", "I", "I", "I", "I", "I", "I", "I", "Na", "Na", "Na", "Na"],
  "fractional_positions": [[0.000, 0.000, 0.000], [0.500, 0.500, 0.500], [0.804, 0.804, 0.842], [0.215, 0.215, 0.500], [0.715, 0.285, 0.000], [0.804, 0.804, 0.158], [0.304, 0.696, 0.658], [0.196, 0.196, 0.842], [0.696, 0.304, 0.658], [0.285, 0.715, 0.000], [0.304, 0.696, 0.342], [0.196, 0.196, 0.158], [0.696, 0.304, 0.342], [0.785, 0.785, 0.500], [0.500, 0.500, 0.166], [0.000, 0.000, 0.666], [0.500, 0.500, 0.834], [0.000, 0.000, 0.334]],
  "total_magnetization_mub_per_fu": 1.0,
  "rho_g_cm3": 4.3,
  "volume_a3_per_cell": 794.2,
  "final_energy_ev_per_atom": -3.46,
  "sg": "P4_2/mnm (136)"
}

***

# 4
{
  "formula": "Rb2NaTcI6",
  "functional": "GGA-PBE",
  "state": "optimized geometry",
  "lattice": [[0.000, 5.873, 5.873], [5.873, 0.000, 5.873], [5.873, 5.873, 0.000]],
  "species": ["Tc", "I", "I", "I", "I", "I", "I", "Rb", "Rb", "Na"],
  "fractional_positions": [[0.000, 0.000, 0.000], [0.765, 0.235, 0.765], [0.765, 0.235, 0.235], [0.235, 0.765, 0.765], [0.765, 0.765, 0.235], [0.235, 0.765, 0.235], [0.235, 0.235, 0.765], [0.750, 0.750, 0.750], [0.250, 0.250, 0.250], [0.500, 0.500, 0.500]],
  "total_magnetization_mub_per_fu": 2.0,
  "rho_g_cm3": 4.3,
  "volume_a3_per_cell": 405.2,
  "final_energy_ev_per_atom": -3.08,
  "sg": "Fm-3m (225)"
}